{"formula": "BiSbF2", "functional": "GGA-PBE", "state": "relaxed", "formation_energy_uncorrected_ev_per_atom": -0.908, "dos_ef_per_ev_fu": 1.7, "lattice": [[0.000, 3.311, 3.311], [3.311, 0.000, 3.311], [3.311, 3.311, 0.000]], "species": ["Bi", "Sb", "F", "F"], "fractional_positions": [[0.000, 0.000, 0.000], [0.500, 0.500, 0.500], [0.250, 0.250, 0.250], [0.750, 0.750, 0.750]]}



{"formula": "BiSbF2", "functional": "GGA-PBE", "state": "relaxed", "formation_energy_uncorrected_ev_per_atom": -1.245, "dos_ef_per_ev_fu": 1.9, "lattice": [[1.676, 0.968, 8.618], [-1.676, 0.968, 8.618], [0.000, -1.936, 8.618]], "species": ["Bi", "Sb", "F", "F"], "fractional_positions": [[0.000, 0.000, 0.000], [0.500, 0.500, 0.500], [0.415, 0.415, 0.415], [0.585, 0.585, 0.585]]}



{"formula": "Bi3SbF", "functional": "GGA-PBE", "state": "relaxed", "formation_energy_uncorrected_ev_per_atom": 0.469, "dos_ef_per_ev_fu": 4.2, "lattice": [[5.848, 0.000, 0.000], [0.000, 5.848, 0.000], [0.000, 0.000, 5.848]], "species": ["Bi", "Bi", "Bi", "Sb", "F"], "fractional_positions": [[0.000, 0.000, 0.500], [0.000, 0.500, 0.000], [0.500, 0.000, 0.000], [0.000, 0.000, 0.000], [0.500, 0.500, 0.500]]}



{"formula": "BiSb3F", "functional": "GGA-PBE", "state": "relaxed", "formation_energy_uncorrected_ev_per_atom": -0.094, "dos_ef_per_ev_fu": 3.2, "lattice": [[5.040, 0.000, 0.000], [0.000, 5.040, 0.000], [0.000, 0.000, 5.040]], "species": ["Bi", "Sb", "Sb", "Sb", "F"], "fractional_positions": [[0.000, 0.000, 0.000], [0.000, 0.500, 0.500], [0.500, 0.000, 0.500], [0.500, 0.500, 0.000], [0.500, 0.500, 0.500]]}



{"formula": "BiSbF", "functional": "GGA-PBE", "state": "relaxed", "formation_energy_uncorrected_ev_per_atom": -0.896, "dos_ef_per_ev_fu": 0.2, "lattice": [[4.623, 0.000, 0.000], [2.224, 5.749, 0.000], [0.014, 2.728, 6.084]], "species": ["Bi", "Bi", "Sb", "Sb", "F", "F"], "fractional_positions": [[0.173, 0.170, 0.168], [0.827, 0.830, 0.832], [0.399, 0.690, 0.583], [0.601, 0.310, 0.417], [0.284, 0.932, 0.922], [0.716, 0.068, 0.078]]}



{"formula": "BiSb2F2", "functional": "GGA-PBE", "state": "relaxed", "formation_energy_uncorrected_ev_per_atom": -0.742, "dos_ef_per_ev_fu": 2.1, "lattice": [[-2.441, 2.441, 4.515], [2.441, -2.441, 4.515], [2.441, 2.441, -4.515]], "species": ["Bi", "Sb", "Sb", "F", "F"], "fractional_positions": [[0.000, 0.000, 0.000], [0.250, 0.750, 0.500], [0.750, 0.250, 0.500], [0.345, 0.345, 0.000], [0.655, 0.655, 0.000]]}



{"formula": "BiSbF2", "functional": "GGA-PBE", "state": "relaxed", "formation_energy_uncorrected_ev_per_atom": -1.068, "dos_ef_per_ev_fu": 1.2, "lattice": [[-3.838, 3.838, 3.114], [3.838, -3.838, 3.114], [3.838, 3.838, -3.114]], "species": ["Bi", "Bi", "Sb", "Sb", "F", "F", "F", "F"], "fractional_positions": [[0.000, 0.000, 0.000], [0.750, 0.250, 0.500], [0.250, 0.750, 0.500], [0.500, 0.500, 0.000], [0.017, 0.125, 0.392], [0.375, 0.983, 0.108], [0.733, 0.625, 0.608], [0.875, 0.267, 0.892]]}



{"formula": "Bi2SbF", "functional": "GGA-PBE", "state": "relaxed", "formation_energy_uncorrected_ev_per_atom": -0.519, "dos_ef_per_ev_fu": 1.6, "lattice": [[-2.697, 2.697, 8.324], [2.697, -2.697, 8.324], [2.697, 2.697, -8.324]], "species": ["Bi", "Bi", "Bi", "Bi", "Sb", "Sb", "F", "F"], "fractional_positions": [[0.036, 0.625, 0.911], [0.375, 0.286, 0.411], [0.714, 0.125, 0.089], [0.875, 0.964, 0.589], [0.250, 0.750, 0.500], [0.500, 0.500, 0.000], [0.000, 0.000, 0.000], [0.750, 0.250, 0.500]]}



So what do the calculations give for offset from the most stable computed form? Going down the list: 1.35 0.00 3.35 0.00 0.00 0.00 0.71 0.00 eV per formula unit.